First-principles (GGA-PBE) data for a geometry-optimized Dy2Er3Zn2 structure, as listed in Alexandria via LeMat-Bulk.

Structure (POSCAR):
```
Dy2Er3Zn2
1.0
-2.281 2.607 0.480
-0.783 -0.061 -3.396
-12.156 -8.833 2.965
Dy Er Zn
2 3 2
direct
0.701 0.500 0.599
0.299 0.500 0.401
0.882 0.000 0.236
0.000 0.000 0.000
0.118 0.000 0.764
0.558 0.500 0.884
0.442 0.500 0.116
```

Computed properties:
As for the space group: P2/m. The energy above the lowest structure with this stoichiometry comes out at 0 kJ/mol of formula units. The total energy comes out at -3.760 eV/atom. For the density of states at the Fermi level, the calculation gives 8.64 states/eV/f.u. The value obtained for the formation energy is -0.881 eV/f.u.